# 1
# TbHo9Th2

An optimized crystal structure of TbHo9Th2 (GGA-PBE, Alexandria).

Cell: 5.004 5.004 14.975 Å, 90.00 90.00 90.00°
Space group P4/mmm (No. 123)
Unique sites:
Tb: 0.000 0.000 0.000 x1
Ho: 0.000 0.500 0.168 x4
Ho: 0.000 0.500 0.500 x2
Ho: 0.500 0.500 0.000 x1
Ho: 0.500 0.500 0.333 x2
Th: 0.000 0.000 0.334 x2

As for the crystal system: tetragonal. The calculation puts the total magnetization at 0.0 μB per cell. The calculation puts the energy of formation from the pure elements at 33 meV/atom. For the total energy, the calculation gives -60.3 eV per cell. Its mass density is 9.3 g/cm³.

# 2
# Tb4HoTh3

An optimized crystal structure of Tb4HoTh3 (GGA-PBE, Alexandria).

Cell: 5.037 10.089 10.111 Å, 90.00 90.00 90.00°
Space group Pmmn (No. 59, origin choice 2)
Unique sites:
Tb: 0.250 0.001 0.128 x4
Tb: 0.250 0.250 0.874 x2
Tb: 0.250 0.750 0.869 x2
Ho: 0.250 0.750 0.378 x2
Th: 0.250 0.250 0.376 x2
Th: 0.250 0.502 0.622 x4

As for the crystal system: orthorhombic. The calculation puts the total magnetization at 0.0 μB per cell. The calculation puts the energy of formation from the pure elements at 31 meV/atom. For the total energy, the calculation gives -90.2 eV per cell. Its mass density is 9.7 g/cm³.

# 3
# TbHo5Th2

An optimized crystal structure of TbHo5Th2 (GGA-PBE, Alexandria).

Cell: 6.521 13.242 11.882 Å, 90.00 90.00 90.00°
Space group Imma (No. 74)
Unique sites:
Tb: 0.000 0.250 0.205 x4
Ho: 0.000 0.118 0.968 x8
Ho: 0.000 0.250 0.486 x4
Ho: 0.250 0.017 0.250 x8
Th: 0.000 0.000 0.500 x4
Th: 0.250 0.250 0.750 x4

As for the crystal system: orthorhombic. The calculation puts the total magnetization at 0.0 μB per cell. The calculation puts the energy of formation from the pure elements at 234 meV/atom. For the total energy, the calculation gives -162.0 eV per cell. Its mass density is 9.4 g/cm³.

# 4
# TbHoTh2

An optimized crystal structure of TbHoTh2 (GGA-PBE, Alexandria).

Cell: 3.5715 3.5715 34.4652 Å, 90.00 90.00 120.00°
Space group R-3m (No. 166, hexagonal axes)
Unique sites:
Tb: 0.0000 0.0000 0.0000 x3
Ho: 0.0000 0.0000 0.5000 x3
Th: 0.0000 0.0000 0.2497 x6

As for the crystal system: trigonal. The calculation puts the total magnetization at 0.0 μB per cell. The calculation puts the energy of formation from the pure elements at 32 meV/atom. For the total energy, the calculation gives -71.8 eV per cell. Its mass density is 10.3 g/cm³.

# 5
# Tb4Ho2Th3

An optimized crystal structure of Tb4Ho2Th3 (GGA-PBE, Alexandria).

Cell: 3.5567 3.5567 26.4965 Å, 90.00 90.00 120.00°
Space group P3m1 (No. 156)
Unique sites:
Tb: 0.0000 0.0000 0.0000 x1
Tb: 0.0000 0.0000 0.2187 x1
Tb: 0.3333 0.6667 0.3281 x1
Tb: 0.3333 0.6667 0.5491 x1
Ho: 0.0000 0.0000 0.6571 x1
Ho: 0.0000 0.0000 0.8747 x1
Th: 0.0000 0.0000 0.4385 x1
Th: 0.3333 0.6667 0.1071 x1
Th: 0.3333 0.6667 0.7684 x1

As for the crystal system: trigonal. The calculation puts the total magnetization at 0.0 μB per cell. The calculation puts the energy of formation from the pure elements at 82 meV/atom. For the total energy, the calculation gives -49.2 eV per cell. Its mass density is 9.5 g/cm³.

# 6
# Tb8Ho3Th

An optimized crystal structure of Tb8Ho3Th (GGA-PBE, Alexandria).

Cell: 7.691 7.691 15.446 Å, 90.00 90.00 90.00°
Space group I4/mmm (No. 139)
Unique sites:
Tb: 0.249 0.249 0.125 x16
Ho: 0.000 0.000 0.500 x2
Ho: 0.000 0.500 0.250 x4
Th: 0.000 0.000 0.000 x2

As for the crystal system: tetragonal. The calculation puts the total magnetization at 0.0 μB per cell. The calculation puts the energy of formation from the pure elements at 759 meV/atom. For the total energy, the calculation gives -98.2 eV per cell. Its mass density is 7.3 g/cm³.

# 7
# Tb12Ho5Th2

An optimized crystal structure of Tb12Ho5Th2 (GGA-PBE, Alexandria).

Cell: 6.168 9.402 11.235 Å, 68.92 89.91 83.70°
Space group P-1 (No. 2)
Unique sites:
Tb: 0.026 0.343 0.447 x2
Tb: 0.130 0.713 0.235 x2
Tb: 0.184 0.392 0.132 x2
Tb: 0.289 0.767 0.922 x2
Tb: 0.396 0.130 0.714 x2
Tb: 0.448 0.814 0.605 x2
Ho: 0.080 0.026 0.342 x2
Ho: 0.341 0.446 0.817 x2
Ho: 0.500 0.500 0.500 x1
Th: 0.236 0.078 0.026 x2

As for the crystal system: triclinic. The calculation puts the total magnetization at 0.0 μB per cell. The calculation puts the energy of formation from the pure elements at 23 meV/atom. For the total energy, the calculation gives -92.9 eV per cell. Its mass density is 8.8 g/cm³.

# 8
# Tb2Ho3Th4

An optimized crystal structure of Tb2Ho3Th4 (GGA-PBE, Alexandria).

Cell: 15.041 5.033 8.013 Å, 90.00 108.72 90.00°
Space group C2/m (No. 12)
Unique sites:
Tb: 0.059 0.000 0.333 x4
Ho: 0.000 0.500 0.000 x2
Ho: 0.115 0.500 0.671 x4
Th: 0.169 0.000 0.004 x4
Th: 0.223 0.500 0.333 x4

As for the crystal system: monoclinic. The calculation puts the total magnetization at 0.0 μB per cell. The calculation puts the energy of formation from the pure elements at 33 meV/atom. For the total energy, the calculation gives -104.8 eV per cell. Its mass density is 10.1 g/cm³.